P:
The following is a DFT calculation (GGA-PBE) of an optimized crystal structure of LiCd2Re.

Results
SG: Pmmm
Volume, Å³ per atom: 17.537

Cell lengths 2.7693, 4.2880, 5.9075 Å; angles 90.00, 90.00, 90.00 degrees
Closest atoms and distances in Å follow each position.
Element x y z (fractional)
Cd1 0.0000 0.0000 0.9961  4 Cd 2.77-3.00, 4 Re 2.94, 4 Li 2.96
Cd2 0.0000 0.0000 0.5039  4 Cd 2.77-3.00, 4 Re 2.94, 4 Li 2.96
Li1 0.5000 0.5000 0.2500  2 Li 2.77, 2 Re 2.95, 8 Cd 2.96
Re1 0.5000 0.5000 0.7500  2 Re 2.77, 8 Cd 2.94, 2 Li 2.95

***

Q:
The following is a DFT calculation (GGA-PBE) of an optimized crystal structure of LiCd2Re.

Results
SG: Cmm2
Volume, Å³ per atom: 17.587

Cell lengths 2.7642, 2.7642, 9.7119 Å; angles 90.00, 90.00, 108.56 degrees
Closest atoms and distances in Å follow each position.
Element x y z (fractional)
Cd1 0.0000 0.0000 0.9823  4 Cd 2.76, 2 Re 2.89
Cd2 0.5000 0.5000 0.2675  4 Cd 2.76, 2 Li 2.89
Li1 0.0000 0.0000 0.5147  2 Re 2.68, 4 Li 2.76, 2 Cd 2.89
Re1 0.5000 0.5000 0.7355  2 Li 2.68, 4 Re 2.76, 2 Cd 2.89

***

R:
The following is a DFT calculation (GGA-PBE) of an optimized crystal structure of LiCd2Re.

Results
SG: Fm-3m
Volume, Å³ per atom: 17.983

Cell lengths 4.6682, 4.6682, 4.6682 Å; angles 60.00, 60.00, 60.00 degrees
Closest atoms and distances in Å follow each position.
Element x y z (fractional)
Re1 0.5000 0.5000 0.5000  8 Cd 2.86
Li1 0.0000 0.0000 0.0000  8 Cd 2.86
Cd1 0.2500 0.2500 0.2500  4 Re 2.86, 4 Li 2.86
Cd2 0.7500 0.7500 0.7500  4 Li 2.86, 4 Re 2.86

***

S:
The following is a DFT calculation (GGA-PBE) of an optimized crystal structure of LiCd2Re.

Results
SG: I-4m2
Volume, Å³ per atom: 17.376

Cell lengths 5.1821, 5.1821, 5.1821 Å; angles 134.58, 134.58, 66.18 degrees
Closest atoms and distances in Å follow each position.
Element x y z (fractional)
Cd1 0.0000 0.0000 0.0000  4 Li 2.83, 4 Re 2.95, 4 Cd 2.95
Cd2 0.2500 0.7500 0.5000  4 Re 2.83, 4 Cd 2.95, 4 Li 2.95
Li1 0.5000 0.5000 0.0000  8 Cd 2.83-2.95, 4 Re 2.95
Re1 0.7500 0.2500 0.5000  8 Cd 2.83-2.95, 4 Li 2.95

***

Which of them is least stable? Easy: S.

***

P:
The following is a DFT calculation (GGA-PBE) of an optimized crystal structure of LiCd2Re.

Results
SG: Pmm2
Volume, Å³ per atom: 17.326

Cell lengths 4.8919, 2.8954, 4.8929 Å; angles 90.00, 90.05, 90.00 degrees
Closest atoms and distances in Å follow each position.
Element x y z (fractional)
Cd1 0.0000 0.1250 0.8788  4 Li 2.82-2.86, 4 Re 2.84, 2 Cd 2.90
Cd2 0.5000 0.1249 0.3690  4 Re 2.84, 4 Li 2.84, 2 Cd 2.90
Li1 0.0000 0.6252 0.3835  8 Cd 2.82-2.86, 2 Li 2.90
Re1 0.5000 0.6248 0.8687  8 Cd 2.84, 2 Re 2.90

***

Q:
The following is a DFT calculation (GGA-PBE) of an optimized crystal structure of LiCd2Re.

Results
SG: Cmmm
Volume, Å³ per atom: 17.245

Cell lengths 6.7098, 5.0240, 2.8372 Å; angles 90.06, 64.89, 123.23 degrees
Closest atoms and distances in Å follow each position.
Element x y z (fractional)
Cd1 0.0000 0.0000 0.0000  4 Cd 2.84-3.04, 4 Re 2.88-2.89, 4 Li 2.88-2.89
Cd2 0.5000 0.0000 0.5000  4 Cd 2.84-3.04, 4 Li 2.88-2.89, 4 Re 2.88-2.89
Li1 0.0000 0.5000 0.5000  2 Li 2.84, 8 Cd 2.88-2.89, 2 Re 3.04
Re1 0.5000 0.5000 0.0000  2 Re 2.84, 8 Cd 2.88-2.89, 2 Li 3.04

***

R:
The following is a DFT calculation (GGA-PBE) of an optimized crystal structure of LiCd2Re.

Results
SG: Pmmm
Volume, Å³ per atom: 17.340

Cell lengths 2.9259, 4.9026, 4.8353 Å; angles 90.00, 90.00, 90.00 degrees
Closest atoms and distances in Å follow each position.
Element x y z (fractional)
Cd1 0.0000 0.0000 0.0000  4 Li 2.83, 6 Cd 2.85-2.93
Cd2 0.5000 0.5000 0.0000  4 Re 2.83, 6 Cd 2.85-2.93
Li1 0.5000 0.0000 0.5000  4 Cd 2.83, 4 Re 2.85, 2 Li 2.93
Re1 0.0000 0.5000 0.5000  4 Cd 2.83, 4 Li 2.85, 2 Re 2.93

***

Which of them is least stable? Easy: R.

***

P:
The following is a DFT calculation (GGA-PBE) of an optimized crystal structure of LiCd2Re.

Results
SG: P4mm
Volume, Å³ per atom: 17.684

Cell lengths 2.7569, 2.7569, 9.3066 Å; angles 90.00, 90.00, 90.00 degrees
Closest atoms and distances in Å follow each position.
Element x y z (fractional)
Cd1 0.0000 0.0000 0.9822  4 Cd 2.76, 4 Re 3.01
Cd2 0.5000 0.5000 0.2679  4 Cd 2.76, 4 Li 3.00
Li1 0.0000 0.0000 0.5135  4 Li 2.76, 4 Re 2.85, 4 Cd 3.00
Re1 0.5000 0.5000 0.7363  4 Re 2.76, 4 Li 2.85, 4 Cd 3.01

***

Q:
The following is a DFT calculation (GGA-PBE) of an optimized crystal structure of LiCd2Re.

Results
SG: P2/m
Volume, Å³ per atom: 17.392

Cell lengths 4.3642, 2.7550, 6.0865 Å; angles 71.92, 90.00, 90.00 degrees
Closest atoms and distances in Å follow each position.
Element x y z (fractional)
Cd1 0.0000 0.0569 0.9986  4 Cd 2.76-3.00, 2 Li 2.81, 4 Re 2.93-2.98
Cd2 0.0000 0.4431 0.5014  4 Cd 2.76-3.00, 2 Li 2.81, 4 Re 2.93-2.98
Li1 0.5000 0.2500 0.2500  2 Li 2.76, 4 Cd 2.81, 2 Re 2.93
Re1 0.5000 0.7500 0.7500  2 Re 2.76, 2 Li 2.93, 8 Cd 2.93-2.98

***

R:
The following is a DFT calculation (GGA-PBE) of an optimized crystal structure of LiCd2Re.

Results
SG: I-42d
Volume, Å³ per atom: 19.013

Cell lengths 3.9909, 3.9909, 9.9584 Å; angles 78.44, 78.44, 90.00 degrees
Closest atoms and distances in Å follow each position.
Element x y z (fractional)
Re1 0.0000 0.0000 0.0000  4 Cd 2.78, 4 Li 2.82
Re2 0.7500 0.2500 0.5000  4 Cd 2.78, 4 Li 2.82
Li1 0.5000 0.5000 0.0000  4 Cd 2.77, 4 Re 2.82
Li2 0.2500 0.7500 0.5000  4 Cd 2.77, 4 Re 2.82
Cd1 0.6234 0.1250 0.2500  2 Li 2.77, 2 Re 2.78, 4 Cd 2.81-2.83
Cd2 0.1266 0.6250 0.2500  2 Li 2.77, 2 Re 2.78, 4 Cd 2.81-2.83
Cd3 0.3750 0.3766 0.7500  2 Li 2.77, 2 Re 2.78, 4 Cd 2.81-2.83
Cd4 0.8750 0.8734 0.7500  2 Li 2.77, 2 Re 2.78, 4 Cd 2.81-2.83

***

Which of them is least stable? Easy: R.

***

P:
The following is a DFT calculation (GGA-PBE) of an optimized crystal structure of LiCdRe.

Results
SG: Imm2
Volume, Å³ per atom: 16.546

Cell lengths 5.0694, 5.0694, 5.0694 Å; angles 150.15, 129.50, 59.77 degrees
Closest atoms and distances in Å follow each position.
Element x y z (fractional)
Cd1 0.9976 0.9976 0.0000  2 Cd 2.61, 1 Re 2.89, 4 Li 2.91
Li1 0.3337 0.3337 0.0000  2 Li 2.61, 4 Cd 2.91, 4 Re 2.91
Re1 0.6687 0.6687 0.0000  2 Re 2.61, 1 Cd 2.89, 4 Li 2.91

***

Q:
The following is a DFT calculation (GGA-PBE) of an optimized crystal structure of LiCdRe.

Results
SG: Fmm2
Volume, Å³ per atom: 16.391

Cell lengths 7.5923, 7.4083, 2.7057 Å; angles 83.47, 75.80, 20.74 degrees
Closest atoms and distances in Å follow each position.
Element x y z (fractional)
Cd1 0.0019 0.0019 0.9981  6 Cd 2.71-3.02, 2 Li 2.90, 2 Re 2.97
Li1 0.6725 0.6725 0.3275  2 Re 2.69, 4 Li 2.71, 2 Cd 2.90
Re1 0.3256 0.3256 0.6744  2 Li 2.69, 4 Re 2.71, 2 Cd 2.97

***

R:
The following is a DFT calculation (GGA-PBE) of an optimized crystal structure of LiCdRe.

Results
SG: I4mm
Volume, Å³ per atom: 16.408

Cell lengths 7.1327, 7.1327, 7.1327 Å; angles 158.38, 158.38, 30.76 degrees
Closest atoms and distances in Å follow each position.
Element x y z (fractional)
Cd1 0.9991 0.9991 0.0000  4 Cd 2.68
Li1 0.3273 0.3273 0.0000  4 Li 2.68, 4 Re 2.84
Re1 0.6736 0.6736 0.0000  4 Re 2.68, 4 Li 2.84

***

Which of them is least stable? Easy: P.